Material: NaFeS2O2
Method: DFT, GGA+U
State: relaxed

Summary:
The distance to the lowest polymorph of the same formula is 0.0 meV per atom. The final energy is -5.00 eV/atom.

Cell: 8.8459 7.6882 6.3545 Å, 90.00 117.92 90.00°
Space group C2/c (No. 15)
Unique sites:
Na 0.0000 0.1031 0.2500 [4 per cell]
Fe 0.0000 0.3369 0.7500 [4 per cell]
S 0.1505 0.3961 0.1689 [8 per cell]
O 0.1433 0.1313 0.7065 [8 per cell]